Below is a geometry-optimized TbTh2Te6 structure, with properties calculated at the GGA-PBE level.

The structure belongs to space group P4_2/mnm (No. 136); the cell edges are 7.367, 7.367 and 13.745 Å and the angles 90.00°, 90.00° and 90.00°. The inequivalent atoms are Tb at (0.000, 0.000, 0.000), Th at (0.000, 0.000, 0.332), Te at (0.201, 0.201, 0.164) and Te at (0.202, 0.202, 0.500).

The energy comes out at -5.2775 eV per atom. The formation energy without anion corrections is -1.020 eV per atom. The value obtained for the volume is 41.4 Å³ per atom. The value obtained for the total moment is 0.0000 μB/atom.